A geometry-optimized TlIn3Ge3 structure, computed with PBE.

Calculated values
Uncorrected energy (eV per atom): -3.223
Formation energy from the elements (eV per atom): 0.267

a b c (Å): 7.642 7.642 7.642
angles (deg): 90.00 90.00 90.00
Space group Pm-3n (No. 223)
Symmetry-distinct sites (fractional):
Tl: 0.000 0.000 0.000 x2
In: 0.000 0.250 0.500 x6
Ge: 0.000 0.500 0.250 x6